(1)
# AlCoOs3

A relaxed structure of AlCoOs3 (GGA-PBE, the Alexandria database).

Properties
Total DFT energy (no corrections), eV/atom: -7.2414
Distance to the lowest polymorph of the same formula, eV per formula unit: 0.00
Space-group type: Pm-3m
ΔH_f (0 K), eV/atom: 1.666

Lattice parameters (Å, degrees): 4.400 4.400 4.400 90.00 90.00 90.00
Sites, in units of the cell vectors:
Co1 0.000 0.000 0.000
Os1 0.000 0.000 0.500
Os2 0.000 0.500 0.000
Os3 0.500 0.000 0.000
Al1 0.500 0.500 0.500

(2)
# AlCoOs2

A relaxed structure of AlCoOs2 (GGA-PBE, the Alexandria database).

Properties
Total DFT energy (no corrections), eV/atom: -8.3163
Space-group type: R-3m
ΔH_f (0 K), eV/atom: 0.011

Lattice parameters (Å, degrees): 8.543 8.543 8.543 18.36 18.36 18.36
Sites, in units of the cell vectors:
Co1 0.750 0.750 0.750
Os1 0.498 0.498 0.498
Os2 0.002 0.002 0.002
Al1 0.250 0.250 0.250

(3)
# AlCoOs2

A relaxed structure of AlCoOs2 (GGA-PBE, the Alexandria database).

Properties
Total DFT energy (no corrections), eV/atom: -8.1042
Space-group type: Cmmm
ΔH_f (0 K), eV/atom: 0.223

Lattice parameters (Å, degrees): 2.696 2.696 8.439 90.00 90.00 115.88
Sites, in units of the cell vectors:
Al1 0.500 0.500 0.250
Os1 0.000 0.000 0.000
Os2 0.000 0.000 0.500
Co1 0.500 0.500 0.750

(4)
# AlCoOs2

A relaxed structure of AlCoOs2 (GGA-PBE, the Alexandria database).

Properties
Total DFT energy (no corrections), eV/atom: -8.2795
Space-group type: P4/mmm
ΔH_f (0 K), eV/atom: 0.048

Lattice parameters (Å, degrees): 2.711 2.711 7.234 90.00 90.00 90.00
Sites, in units of the cell vectors:
Os1 0.000 0.000 0.988
Os2 0.000 0.000 0.512
Co1 0.500 0.500 0.750
Al1 0.500 0.500 0.250

(5)
# Al2CoOs

A relaxed structure of Al2CoOs (GGA-PBE, the Alexandria database).

Properties
Total DFT energy (no corrections), eV/atom: -6.9597
Distance to the lowest polymorph of the same formula, eV per formula unit: 0.00
Space-group type: Fm-3m
ΔH_f (0 K), eV/atom: -0.504

Lattice parameters (Å, degrees): 4.170 4.170 4.170 60.00 60.00 60.00
Sites, in units of the cell vectors:
Os1 0.500 0.500 0.500
Co1 0.000 0.000 0.000
Al1 0.750 0.750 0.750
Al2 0.250 0.250 0.250

(6)
# AlCo2Os

A relaxed structure of AlCo2Os (GGA-PBE, the Alexandria database).

Properties
Total DFT energy (no corrections), eV/atom: -7.3911
Space-group type: I-4m2
ΔH_f (0 K), eV/atom: -0.095

Lattice parameters (Å, degrees): 4.453 4.453 4.453 131.40 131.40 71.17
Sites, in units of the cell vectors:
Co1 0.250 0.750 0.500
Co2 0.000 0.000 0.000
Al1 0.750 0.250 0.500
Os1 0.500 0.500 0.000

(7)
# Al6Co5Os

A relaxed structure of Al6Co5Os (GGA-PBE, the Alexandria database).

Properties
Total DFT energy (no corrections), eV/atom: -6.3449
Space-group type: Cmmm
ΔH_f (0 K), eV/atom: -0.577

Lattice parameters (Å, degrees): 4.085 5.774 6.457 90.00 71.56 90.00
Sites, in units of the cell vectors:
Al1 0.169 0.748 0.662
Al2 0.500 0.743 0.000
Al3 0.500 0.257 0.000
Al4 0.831 0.252 0.338
Al5 0.169 0.252 0.662
Al6 0.831 0.748 0.338
Os1 0.000 0.000 0.000
Co1 0.668 0.000 0.663
Co2 0.332 0.500 0.336
Co3 0.332 0.000 0.337
Co4 0.668 0.500 0.664
Co5 0.000 0.500 0.000

(8)
# AlCoOs3

A relaxed structure of AlCoOs3 (GGA-PBE, the Alexandria database).

Properties
Total DFT energy (no corrections), eV/atom: -6.9532
Distance to the lowest polymorph of the same formula, eV per formula unit: 1.44
Space-group type: Pm-3m
ΔH_f (0 K), eV/atom: 1.954

Lattice parameters (Å, degrees): 4.353 4.353 4.353 90.00 90.00 90.00
Sites, in units of the cell vectors:
Os1 0.000 0.000 0.500
Os2 0.000 0.500 0.000
Os3 0.500 0.000 0.000
Co1 0.500 0.500 0.500
Al1 0.000 0.000 0.000

(9)
# AlCo2Os

A relaxed structure of AlCo2Os (GGA-PBE, the Alexandria database).

Properties
Total DFT energy (no corrections), eV/atom: -7.2831
Space-group type: R3m
ΔH_f (0 K), eV/atom: 0.013

Lattice parameters (Å, degrees): 8.311 8.311 8.311 18.53 18.53 18.53
Sites, in units of the cell vectors:
Co1 0.253 0.253 0.253
Co2 0.999 0.999 0.999
Al1 0.746 0.746 0.746
Os1 0.502 0.502 0.502

(10)
# Al2CoOs

A relaxed structure of Al2CoOs (GGA-PBE, the Alexandria database).

Properties
Total DFT energy (no corrections), eV/atom: -6.6562
Distance to the lowest polymorph of the same formula, eV per formula unit: 1.21
Space-group type: Pmmm
ΔH_f (0 K), eV/atom: -0.201

Lattice parameters (Å, degrees): 3.078 4.421 3.904 90.00 90.00 90.00
Sites, in units of the cell vectors:
Al1 0.500 0.500 0.000
Al2 0.000 0.000 0.000
Os1 0.000 0.500 0.500
Co1 0.500 0.000 0.500

(11)
# AlCoOs2

A relaxed structure of AlCoOs2 (GGA-PBE, the Alexandria database).

Properties
Total DFT energy (no corrections), eV/atom: -8.3926
Space-group type: Imm2
ΔH_f (0 K), eV/atom: -0.066

Lattice parameters (Å, degrees): 4.943 4.943 4.943 145.62 129.33 62.68
Sites, in units of the cell vectors:
Al1 0.490 0.490 0.000
Os1 0.004 0.004 0.000
Os2 0.740 0.240 0.500
Co1 0.266 0.766 0.500

(12)
# AlCo2Os

A relaxed structure of AlCo2Os (GGA-PBE, the Alexandria database).

Properties
Total DFT energy (no corrections), eV/atom: -7.4247
Space-group type: Cm
ΔH_f (0 K), eV/atom: -0.129

Lattice parameters (Å, degrees): 4.449 4.449 4.436 79.45 79.45 34.58
Sites, in units of the cell vectors:
Co1 0.002 0.002 0.013
Co2 0.750 0.750 0.734
Os1 0.495 0.495 0.533
Al1 0.254 0.254 0.220

Among the records above, which one has the lowest ΔH_f (0 K)? Al6Co5Os